Record 1
The following is a DFT calculation (PBE) of a relaxed AlFeCo2 crystal.

Properties
DFT total energy = -6.89 eV per atom

```
AlFeCo2
1.0
3.9755 0.0000 0.0000
0.0000 3.9755 0.0000
0.0000 0.0000 2.8944
Al Fe Co
1 1 2
Direct
0.0000 0.0000 0.0000 Al
0.5000 0.5000 0.0000 Fe
0.0000 0.5000 0.5000 Co
0.5000 0.0000 0.5000 Co
```

=====

Record 2
The following is a DFT calculation (PBE) of a relaxed AlFeCo2 crystal.

Properties
DFT total energy = -6.89 eV per atom

```
AlFeCo2
1.0
3.9768 0.0000 0.0000
0.0000 3.9768 0.0000
0.0000 0.0000 2.8873
Al Fe Co
1 1 2
Direct
0.0000 0.0000 0.0000 Al
0.5000 0.5000 0.0000 Fe
0.0000 0.5000 0.5000 Co
0.5000 0.0000 0.5000 Co
```

=====

Record 3
The following is a DFT calculation (PBE) of a relaxed Al2FeCo crystal.

Properties
DFT total energy = -6.20 eV per atom

```
Al2FeCo
1.0
5.7069 0.0000 0.0000
0.0000 5.7069 0.0000
0.0000 0.0000 5.7069
Al Fe Co
8 4 4
Direct
0.2500 0.2500 0.2500 Al
0.2500 0.2500 0.7500 Al
0.2500 0.7500 0.2500 Al
0.2500 0.7500 0.7500 Al
0.7500 0.2500 0.2500 Al
0.7500 0.2500 0.7500 Al
0.7500 0.7500 0.2500 Al
0.7500 0.7500 0.7500 Al
0.0000 0.0000 0.0000 Fe
0.0000 0.5000 0.5000 Fe
0.5000 0.0000 0.5000 Fe
0.5000 0.5000 0.0000 Fe
0.0000 0.0000 0.5000 Co
0.0000 0.5000 0.0000 Co
0.5000 0.0000 0.0000 Co
0.5000 0.5000 0.5000 Co
```